1.
# PBE ScTcOs, relaxed
data_ScTcOs
_chemical_formula_sum 'Sc4 Tc4 Os4'
_symmetry_space_group_name_H-M 'F -4 3 m'
_symmetry_Int_Tables_number 216
_symmetry_space_group_name_Hall 'F -4 2 3'
_cell_length_a 6.0904
_cell_length_b 6.0904
_cell_length_c 6.0904
_cell_angle_alpha 90.00
_cell_angle_beta 90.00
_cell_angle_gamma 90.00
loop_
_atom_site_label
_atom_site_type_symbol
_atom_site_fract_x
_atom_site_fract_y
_atom_site_fract_z
Sc1 Sc 0.0000 0.0000 0.0000
Tc1 Tc 0.0000 0.0000 0.5000
Os1 Os 0.2500 0.2500 0.7500
# * energy relative to the lowest polymorph listed for this composition: 36.0 kJ per mole of atoms
# * total magnetic moment: 0.00 μB/cell
# * energy of formation from the pure elements: 186 meV per atom
# * calculated density: 9796 kg/m3

2.
# PBE Sc2Tc2Os, relaxed
data_Sc2Tc2Os
_chemical_formula_sum 'Sc4 Tc4 Os2'
_symmetry_space_group_name_H-M 'P 4/m b m'
_symmetry_Int_Tables_number 127
_symmetry_space_group_name_Hall '-P 4 2ab'
_cell_length_a 6.4456
_cell_length_b 6.4456
_cell_length_c 4.3915
_cell_angle_alpha 90.00
_cell_angle_beta 90.00
_cell_angle_gamma 90.00
loop_
_atom_site_label
_atom_site_type_symbol
_atom_site_fract_x
_atom_site_fract_y
_atom_site_fract_z
Sc1 Sc 0.1787 0.3213 0.0000
Tc1 Tc 0.1339 0.6339 0.5000
Os1 Os 0.0000 0.0000 0.5000
# * total magnetic moment: 0.00 μB/cell
# * energy of formation from the pure elements: -78 meV per atom
# * calculated density: 8667 kg/m3

3.
# PBE Sc6Tc2Os, relaxed
data_Sc6Tc2Os
_chemical_formula_sum 'Sc24 Tc8 Os4'
_symmetry_space_group_name_H-M 'I m m m'
_symmetry_Int_Tables_number 71
_symmetry_space_group_name_Hall '-I 2 2'
_cell_length_a 8.8742
_cell_length_b 9.0297
_cell_length_c 9.0531
_cell_angle_alpha 90.00
_cell_angle_beta 90.00
_cell_angle_gamma 90.00
loop_
_atom_site_label
_atom_site_type_symbol
_atom_site_fract_x
_atom_site_fract_y
_atom_site_fract_z
Sc1 Sc 0.0000 0.1637 0.2038
Sc2 Sc 0.1730 0.5000 0.2474
Sc3 Sc 0.1913 0.2270 0.5000
Tc1 Tc 0.0000 0.3705 0.0000
Tc2 Tc 0.1712 0.0000 0.0000
Os1 Os 0.0000 0.0000 0.5000
Os2 Os 0.0000 0.5000 0.5000
# * total magnetic moment: 0.00 μB/cell
# * energy of formation from the pure elements: -175 meV per atom
# * calculated density: 6006 kg/m3

4.
# PBE Sc3TcOs, relaxed
data_Sc3TcOs
_chemical_formula_sum 'Sc3 Tc1 Os1'
_symmetry_space_group_name_H-M 'P m -3 m'
_symmetry_Int_Tables_number 221
_symmetry_space_group_name_Hall '-P 4 2 3'
_cell_length_a 4.7596
_cell_length_b 4.7596
_cell_length_c 4.7596
_cell_angle_alpha 90.00
_cell_angle_beta 90.00
_cell_angle_gamma 90.00
loop_
_atom_site_label
_atom_site_type_symbol
_atom_site_fract_x
_atom_site_fract_y
_atom_site_fract_z
Sc1 Sc 0.0000 0.0000 0.5000
Tc1 Tc 0.0000 0.0000 0.0000
Os1 Os 0.5000 0.5000 0.5000
# * energy relative to the lowest polymorph listed for this composition: 14.9 kJ per mole of atoms
# * total magnetic moment: 0.00 μB/cell
# * energy of formation from the pure elements: 713 meV per atom
# * calculated density: 6516 kg/m3